The following is a GGA+U calculation of Li3Mn3P4O16 after structural relaxation, from Alexandria via LeMat-Bulk. Values from VASP.

## Properties
relative energy among the computed polymorphs = 24.5 meV/atom
energy = -549.7 eV per cell
crystal system = triclinic

Structure (Quantum ESPRESSO input):
```
&SYSTEM
  ibrav = 0, nat = 78, ntyp = 4
/
ATOMIC_SPECIES
Li 6.94 Li.upf
Mn 54.94 Mn.upf
P 30.97 P.upf
O 16.00 O.upf
ATOMIC_POSITIONS angstrom
Li 0.0000 0.0000 0.0000
Li 0.0261 5.0188 8.9765
Li 1.0254 3.3637 0.1725
Li 2.7990 4.1163 9.1573
Li 3.7917 4.2469 0.0971
Li 3.8345 0.8260 8.8604
Li 4.1324 6.9566 4.4197
Li 6.9382 7.8087 4.3166
Li 7.9464 2.1136 4.6364
Mn 1.0254 -0.3355 8.9774
Mn 1.0706 5.8078 4.5741
Mn 2.6707 1.1921 4.6747
Mn 2.7098 6.8279 13.3244
Mn 5.0615 3.2448 4.6025
Mn 5.0890 6.1390 8.8991
Mn 5.1044 -0.1628 13.3023
Mn 6.7781 1.7455 8.7272
Mn 6.8780 5.3022 0.0502
P 1.4048 5.0680 11.9055
P 1.4594 2.5501 7.4319
P 1.5190 8.6181 2.9799
P 2.2694 6.9515 7.4957
P 2.2752 0.7066 11.8958
P 2.3345 4.1416 3.0287
P 5.5631 0.3591 5.9955
P 5.5724 7.0303 1.4957
P 5.6283 3.3552 10.4246
P 6.3731 2.5162 1.5664
P 6.3577 7.8609 10.3809
P 6.3934 5.0351 5.9643
O 0.3779 4.1493 12.6308
O 0.4086 1.4787 8.0799
O 0.5805 7.5448 3.5471
O 0.8761 3.9411 7.5538
O 0.9256 4.0356 3.7294
O 0.9028 6.8489 8.2721
O 0.9511 0.4941 12.6183
O 1.0997 1.0081 3.5033
O 1.1103 6.5988 12.2439
O 1.4828 4.7969 10.4345
O 1.5301 2.1016 5.9312
O 1.5834 8.5654 1.4553
O 2.1426 6.6956 6.0070
O 2.2306 0.3447 10.3848
O 2.3209 3.9593 1.5434
O 2.5818 -0.5669 7.8193
O 2.7104 5.5967 3.5202
O 2.7834 2.3820 8.1608
O 2.7894 4.9833 12.6766
O 2.8424 2.0879 12.1332
O 2.9501 8.5745 3.6517
O 3.3218 3.1144 3.7196
O 3.3263 6.0101 8.1286
O 3.3317 -0.3891 12.5254
O 4.4978 1.4338 5.3501
O 4.5542 8.0110 0.7705
O 4.6519 4.3956 9.8406
O 4.9507 2.5875 0.8706
O 4.9565 8.0161 5.8654
O 4.9779 7.9772 9.6512
O 5.0553 5.1417 5.1338
O 5.2246 5.5446 1.0855
O 5.2254 1.9104 9.9322
O 5.6008 7.2823 2.9699
O 5.6388 0.8114 7.4918
O 5.7118 3.4582 11.9379
O 6.2369 5.3679 7.4346
O 6.3002 2.6125 3.0807
O 6.2722 8.0987 11.8835
O 6.6474 3.4870 5.7266
O 6.7536 1.0616 1.0626
O 6.7173 6.3800 10.0044
O 6.8784 0.5387 5.2558
O 6.9561 7.1515 0.7501
O 7.0398 3.4257 9.7154
O 7.3468 3.5444 0.9687
O 7.4139 -0.1893 9.7673
O 7.4750 5.9277 5.3136
CELL_PARAMETERS angstrom
8.1854 0.0000 0.0000
-0.0095 9.0378 0.0000
-0.0611 -1.0521 13.3770
```